A plane-wave DFT calculation with GGA+U was carried out for an optimized crystal structure of MnTlWF6.

Values from the calculation:
VASP energy: -5.5992 eV per atom
Crystal system: trigonal
D(E_F): 0.00 states/eV/cell
Mass density: 5.37 g/cm³

Geometry as POSCAR:
```
MnTlWF6
1.0
-3.7750 -2.3206 -3.7300
5.4971 -1.8237 0.0683
-2.8416 -8.2649 8.0178
F W Mn Tl
12 2 2 2
direct
0.9958 0.3669 0.1564
0.3669 0.3711 0.8436
0.3669 0.9958 0.6564
0.3711 0.3669 0.3436
0.6289 0.9958 0.8436
0.3711 0.0042 0.1564
0.0042 0.3711 0.6564
0.6331 0.0042 0.3436
0.6289 0.6331 0.6564
0.9958 0.6289 0.3436
0.0042 0.6331 0.8436
0.6331 0.6289 0.1564
0.6667 0.3333 0.2500
0.3333 0.6667 0.7500
0.3333 0.6667 0.2500
0.6667 0.3333 0.7500
0.0000 0.0000 0.5000
0.0000 0.0000 0.0000
```